(1)
Entry from Alexandria: a PBEsol-optimized structure of TaFeSe2 (SCAN).

As for the uncorrected formation energy: -0.3141 eV per atom. The magnetic moment comes out at 2.61 μB/f.u.

Lattice parameters (Å, degrees): 3.290 3.290 6.527 90.00 90.00 90.00
Space group P4mm (No. 99)
One atom of each set of equivalent atoms:
Ta: 0.000 0.000 0.000 [1 per cell]
Fe: 0.500 0.500 0.232 [1 per cell]
Se: 0.000 0.000 0.387 [1 per cell]
Se: 0.500 0.500 0.814 [1 per cell]

(2)
Entry from Alexandria: a PBEsol-optimized structure of InPbNCl2 (SCAN).

As for the uncorrected formation energy: 0.3369 eV per atom. The magnetic moment comes out at 0.67 μB/f.u.

Lattice parameters (Å, degrees): 5.842 5.842 3.690 90.00 90.00 90.00
Space group P4/mmm (No. 123)
One atom of each set of equivalent atoms:
In: 0.000 0.000 0.000 [1 per cell]
Pb: 0.500 0.500 0.000 [1 per cell]
N: 0.000 0.000 0.500 [1 per cell]
Cl: 0.000 0.500 0.500 [2 per cell]

(3)
Entry from Alexandria: a PBEsol-optimized structure of CdWSe (SCAN).

As for the uncorrected formation energy: 0.7665 eV per atom. The magnetic moment comes out at 0.00 μB/f.u.

Lattice parameters (Å, degrees): 4.7261 4.7261 2.7191 90.00 90.00 120.00
Space group P-6m2 (No. 187)
One atom of each set of equivalent atoms:
Cd: 0.0000 0.0000 0.0000 [1 per cell]
W: 0.6667 0.3333 0.5000 [1 per cell]
Se: 0.3333 0.6667 0.5000 [1 per cell]

(4)
Entry from Alexandria: a PBEsol-optimized structure of CuPt2W (SCAN).

The magnetic moment comes out at 0.00 μB/f.u. The energy of formation from the pure elements is -0.088 eV per atom.

Lattice parameters (Å, degrees): 2.729 2.729 7.621 90.00 90.00 90.00
Space group P4mm (No. 99)
One atom of each set of equivalent atoms:
Cu: 0.000 0.000 0.000 [1 per cell]
Pt: 0.000 0.000 0.505 [1 per cell]
Pt: 0.500 0.500 0.231 [1 per cell]
W: 0.500 0.500 0.758 [1 per cell]

(5)
Entry from Alexandria: a PBEsol-optimized structure of AlTe2Cl (SCAN).

As for the uncorrected formation energy: -0.0297 eV per atom. The magnetic moment comes out at 0.00 μB/f.u.

Lattice parameters (Å, degrees): 4.152 4.152 12.728 90.00 90.00 90.00
Space group I4/mmm (No. 139)
One atom of each set of equivalent atoms:
Al: 0.000 0.000 0.000 [2 per cell]
Te: 0.000 0.500 0.250 [4 per cell]
Cl: 0.000 0.000 0.500 [2 per cell]

(6)
Entry from Alexandria: a PBEsol-optimized structure of CuTe3N (SCAN).

As for the uncorrected formation energy: 0.9880 eV per atom. The magnetic moment comes out at 0.00 μB/f.u.

Lattice parameters (Å, degrees): 4.659 4.659 4.659 90.00 90.00 90.00
Space group Pm-3m (No. 221)
One atom of each set of equivalent atoms:
Cu: 0.000 0.000 0.000 [1 per cell]
Te: 0.000 0.500 0.500 [3 per cell]
N: 0.500 0.500 0.500 [1 per cell]

(7)
Entry from Alexandria: a PBEsol-optimized structure of Mg2ZrPt (SCAN).

The magnetic moment comes out at 0.00 μB/f.u. The energy of formation from the pure elements is -0.474 eV per atom.

Lattice parameters (Å, degrees): 2.973 2.973 8.381 90.00 90.00 90.00
Space group P4/mmm (No. 123)
One atom of each set of equivalent atoms:
Mg: 0.000 0.000 0.205 [2 per cell]
Zr: 0.500 0.500 0.500 [1 per cell]
Pt: 0.500 0.500 0.000 [1 per cell]

(8)
Entry from Alexandria: a PBEsol-optimized structure of Li2ZnSe (SCAN).

As for the uncorrected formation energy: -0.6303 eV per atom. The magnetic moment comes out at 0.00 μB/f.u.

Lattice parameters (Å, degrees): 4.116 4.116 3.636 90.00 90.00 90.00
Space group P4/mmm (No. 123)
One atom of each set of equivalent atoms:
Li: 0.000 0.500 0.000 [2 per cell]
Zn: 0.000 0.000 0.500 [1 per cell]
Se: 0.500 0.500 0.500 [1 per cell]

(9)
Entry from Alexandria: a PBEsol-optimized structure of Co2TePt (SCAN).

As for the uncorrected formation energy: 0.2172 eV per atom. The magnetic moment comes out at 3.29 μB/f.u.

Lattice parameters (Å, degrees): 3.988 3.988 7.053 90.00 90.00 90.00
Space group I4/mmm (No. 139)
One atom of each set of equivalent atoms:
Co: 0.000 0.500 0.250 [4 per cell]
Te: 0.000 0.000 0.000 [2 per cell]
Pt: 0.000 0.000 0.500 [2 per cell]

(10)
Entry from Alexandria: a PBEsol-optimized structure of Ti4FeSe8 (SCAN).

As for the uncorrected formation energy: -1.0973 eV per atom. The magnetic moment comes out at 0.00 μB/f.u.

Lattice parameters (Å, degrees): 11.507 6.960 8.270 90.00 133.53 90.00
Space group C2/m (No. 12)
One atom of each set of equivalent atoms:
Ti: 0.000 0.237 0.000 [4 per cell]
Ti: 0.244 0.000 0.493 [4 per cell]
Fe: 0.000 0.500 0.500 [2 per cell]
Se: 0.045 0.500 0.830 [4 per cell]
Se: 0.054 0.000 0.831 [4 per cell]
Se: 0.197 0.252 0.669 [8 per cell]

(11)
Entry from Alexandria: a PBEsol-optimized structure of Ba2AsSe (SCAN).

As for the uncorrected formation energy: -1.4134 eV per atom. The magnetic moment comes out at 0.99 μB/f.u.

Lattice parameters (Å, degrees): 7.916 7.916 7.916 90.00 90.00 90.00
Space group Fm-3m (No. 225)
One atom of each set of equivalent atoms:
Ba: 0.250 0.250 0.250 [8 per cell]
As: 0.000 0.000 0.000 [4 per cell]
Se: 0.000 0.000 0.500 [4 per cell]

(12)
Entry from Alexandria: a PBEsol-optimized structure of BaBe2CrHg (SCAN).

The magnetic moment comes out at 5.19 μB/f.u. The energy of formation from the pure elements is 1.837 eV per atom.

Lattice parameters (Å, degrees): 5.341 5.341 5.926 90.00 90.00 90.00
Space group P4/mmm (No. 123)
One atom of each set of equivalent atoms:
Ba: 0.000 0.000 0.000 [1 per cell]
Be: 0.000 0.500 0.000 [2 per cell]
Cr: 0.500 0.500 0.500 [1 per cell]
Hg: 0.000 0.000 0.500 [1 per cell]

(13)
Entry from Alexandria: a PBEsol-optimized structure of AlCr2CdIr (SCAN).

The magnetic moment comes out at 7.12 μB/f.u. The energy of formation from the pure elements is 0.780 eV per atom.

Lattice parameters (Å, degrees): 4.648 4.648 5.078 90.00 90.00 90.00
Space group P4/mmm (No. 123)
One atom of each set of equivalent atoms:
Al: 0.000 0.000 0.000 [1 per cell]
Cr: 0.000 0.500 0.500 [2 per cell]
Cd: 0.500 0.500 0.000 [1 per cell]
Ir: 0.500 0.500 0.500 [1 per cell]

(14)
Entry from Alexandria: a PBEsol-optimized structure of InAg3 (SCAN).

The magnetic moment comes out at 0.00 μB/f.u. The energy of formation from the pure elements is 0.022 eV per atom.

Lattice parameters (Å, degrees): 3.168 3.168 7.133 90.00 90.00 90.00
Space group P4/mmm (No. 123)
One atom of each set of equivalent atoms:
In: 0.000 0.000 0.000 [1 per cell]
Ag: 0.000 0.000 0.500 [1 per cell]
Ag: 0.500 0.500 0.263 [2 per cell]

(15)
Entry from Alexandria: a PBEsol-optimized structure of KLa2TaZn (SCAN).

The magnetic moment comes out at 3.40 μB/f.u. The energy of formation from the pure elements is 0.792 eV per atom.

Lattice parameters (Å, degrees): 5.740 5.740 5.016 90.00 90.00 90.00
Space group P4/mmm (No. 123)
One atom of each set of equivalent atoms:
K: 0.000 0.000 0.000 [1 per cell]
La: 0.000 0.500 0.500 [2 per cell]
Ta: 0.500 0.500 0.000 [1 per cell]
Zn: 0.500 0.500 0.500 [1 per cell]